Record 1
VASP calculation (PBE-GGA) on a relaxed CdBiS2N crystal.

formation energy from raw total energies = 891.9 meV/atom
total energy = -3.383 eV per atom
N(E_F) = 0.64 states/eV per atom

Cell: 5.305 5.305 4.313 Å, 90.00 90.00 90.00°
Space group P4/mmm (No. 123)
Unique sites:
Cd 0.000 0.000 0.000 (multiplicity 1)
Bi 0.500 0.500 0.500 (multiplicity 1)
S 0.000 0.500 0.500 (multiplicity 2)
N 0.500 0.500 0.000 (multiplicity 1)



Record 2
VASP calculation (PBE-GGA) on a relaxed K2HfI crystal.

formation energy from raw total energies = 581.0 meV/atom
total energy = -2.844 eV per atom
N(E_F) = 1.06 states/eV per atom

Cell: 11.674 11.674 5.752 Å, 90.00 90.00 90.00°
Space group I-42d (No. 122)
Unique sites:
K 0.142 0.750 0.125 (multiplicity 8)
Hf 0.000 0.000 0.500 (multiplicity 4)
I 0.000 0.000 0.000 (multiplicity 4)



Record 3
VASP calculation (PBE-GGA) on a relaxed ThGaCu2 crystal.

total energy = -4.960 eV per atom
ΔE_f = -29 kJ/mol of atoms
N(E_F) = 0.82 states/eV per atom

Cell: 4.2276 4.2276 14.5407 Å, 90.00 90.00 120.00°
Space group R-3m (No. 166, hexagonal axes)
Unique sites:
Th 0.0000 0.0000 0.0000 (multiplicity 3)
Ga 0.0000 0.0000 0.5000 (multiplicity 3)
Cu 0.0000 0.0000 0.2087 (multiplicity 6)



Record 4
VASP calculation (PBE-GGA) on a relaxed TcBr2O2 crystal.

formation energy from raw total energies = 819.9 meV/atom
total energy = -3.906 eV per atom
N(E_F) = 1.09 states/eV per atom

Cell: 4.871 4.871 6.949 Å, 90.00 90.00 90.00°
Space group I4/mmm (No. 139)
Unique sites:
Tc 0.000 0.000 0.000 (multiplicity 2)
Br 0.000 0.500 0.250 (multiplicity 4)
O 0.000 0.000 0.410 (multiplicity 4)



Question: Among the records above, which one has the lowest total energy?
Answer: ThGaCu2



Question: Which formula does entry 3 have?
Answer: ThGaCu2



Question: Which value of N(E_F) does entry 4 give?
Answer: 1.09 states/eV per atom